## Cs12Ag5Se3 (PBE-GGA)

Data for a relaxed Cs12Ag5Se3 crystal.

```
data_Cs12Ag5Se3
_cell_length_a 21.298
_cell_length_b 21.298
_cell_length_c 21.298
_cell_angle_alpha 90.00
_cell_angle_beta 90.00
_cell_angle_gamma 90.00
_space_group_name_H-M_alt 'I a -3 d'
_space_group_IT_number 230
_space_group_name_Hall '-I 4bd 2c 3'
loop_
_atom_site_label
_atom_site_fract_x
_atom_site_fract_y
_atom_site_fract_z
Cs1 0.016 0.077 0.655
Ag1 0.000 0.000 0.000
Ag2 0.000 0.250 0.375
Se1 0.000 0.250 0.125
```

Properties
Formation energy (no corrections) (meV per atom): -333
Spin magnetization (μB/cell): 0.0
DOS at the Fermi energy (states/eV/f.u.): 7.856